(1)
The following is a DFT calculation (GGA-PBE) of K2Y2PuO6 after structural relaxation. Values from VASP.

Computed properties:
- Total moment: 4.00 μB/cell
- ΔE_f (raw): -2816 meV/atom
- Symmetry: No. 12
- Total DFT energy (no corrections): -90.18 eV/cell

```
&SYSTEM
  ibrav = 0, nat = 11, ntyp = 4
/
ATOMIC_SPECIES
K 39.10 K.upf
Y 88.91 Y.upf
Pu 244.00 Pu.upf
O 16.00 O.upf
CELL_PARAMETERS angstrom
3.015 -5.214 0.000
3.015 5.214 0.000
-1.996 0.000 6.372
ATOMIC_POSITIONS crystal
K 0.168 0.832 0.000
K 0.832 0.168 0.000
Y 0.334 0.666 0.500
Y 0.666 0.334 0.500
Pu 0.000 0.000 0.500
O 0.050 0.384 0.674
O 0.260 0.260 0.327
O 0.384 0.050 0.674
O 0.616 0.950 0.326
O 0.740 0.740 0.673
O 0.950 0.616 0.326
```

=====

(2)
The following is a DFT calculation (GGA-PBE) of K2YPu3O12 after structural relaxation. Values from VASP.

Computed properties:
- Total moment: 5.00 μB/cell
- ΔE_f (raw): -2530 meV/atom
- Symmetry: No. 166
- Total DFT energy (no corrections): -156.70 eV/cell

```
&SYSTEM
  ibrav = 0, nat = 18, ntyp = 4
/
ATOMIC_SPECIES
K 39.10 K.upf
Y 88.91 Y.upf
Pu 244.00 Pu.upf
O 16.00 O.upf
CELL_PARAMETERS angstrom
4.006 2.313 6.237
-4.006 2.313 6.237
0.000 -4.626 6.237
ATOMIC_POSITIONS crystal
K 0.171 0.171 0.171
K 0.829 0.829 0.829
Y 0.500 0.500 0.500
Pu 0.000 0.500 0.500
Pu 0.500 0.000 0.500
Pu 0.500 0.500 0.000
O 0.159 0.573 0.573
O 0.193 0.193 0.556
O 0.193 0.556 0.193
O 0.427 0.427 0.841
O 0.427 0.841 0.427
O 0.444 0.807 0.807
O 0.556 0.193 0.193
O 0.573 0.159 0.573
O 0.573 0.573 0.159
O 0.807 0.444 0.807
O 0.807 0.807 0.444
O 0.841 0.427 0.427
```

=====

(3)
The following is a DFT calculation (GGA-PBE) of K4YPu3O12 after structural relaxation. Values from VASP.

Computed properties:
- Total moment: 7.00 μB/cell
- ΔE_f (raw): -2583 meV/atom
- Symmetry: No. 229
- Total DFT energy (no corrections): -165.01 eV/cell

```
&SYSTEM
  ibrav = 0, nat = 20, ntyp = 4
/
ATOMIC_SPECIES
K 39.10 K.upf
Y 88.91 Y.upf
Pu 244.00 Pu.upf
O 16.00 O.upf
CELL_PARAMETERS angstrom
-4.284 4.284 4.284
4.284 -4.284 4.284
4.284 4.284 -4.284
ATOMIC_POSITIONS crystal
K 0.000 0.000 0.500
K 0.000 0.500 0.000
K 0.500 0.000 0.000
K 0.500 0.500 0.500
Y 0.000 0.000 0.000
Pu 0.000 0.500 0.500
Pu 0.500 0.000 0.500
Pu 0.500 0.500 0.000
O 0.000 0.266 0.266
O 0.000 0.734 0.734
O 0.250 0.500 0.750
O 0.250 0.750 0.500
O 0.266 0.000 0.266
O 0.266 0.266 0.000
O 0.500 0.250 0.750
O 0.500 0.750 0.250
O 0.734 0.000 0.734
O 0.734 0.734 0.000
O 0.750 0.250 0.500
O 0.750 0.500 0.250
```

=====

(4)
The following is a DFT calculation (GGA-PBE) of KY2PuO6 after structural relaxation. Values from VASP.

Computed properties:
- Total moment: 3.00 μB/cell
- ΔE_f (raw): -2961 meV/atom
- Symmetry: No. 146
- Total DFT energy (no corrections): -87.71 eV/cell

```
&SYSTEM
  ibrav = 0, nat = 10, ntyp = 4
/
ATOMIC_SPECIES
K 39.10 K.upf
Y 88.91 Y.upf
Pu 244.00 Pu.upf
O 16.00 O.upf
CELL_PARAMETERS angstrom
2.973 1.716 5.245
-2.973 1.716 5.245
0.000 -3.433 5.245
ATOMIC_POSITIONS crystal
K 0.000 0.000 0.000
Y 0.258 0.258 0.258
Y 0.774 0.774 0.774
Pu 0.464 0.464 0.464
O 0.079 0.597 0.443
O 0.190 0.528 0.856
O 0.443 0.079 0.597
O 0.528 0.856 0.190
O 0.597 0.443 0.079
O 0.856 0.190 0.528
```

=====

(5)
The following is a DFT calculation (GGA-PBE) of KYPuO6 after structural relaxation. Values from VASP.

Computed properties:
- Total moment: 0.00 μB/cell
- ΔE_f (raw): -2277 meV/atom
- Symmetry: No. 149
- Total DFT energy (no corrections): -72.13 eV/cell

```
&SYSTEM
  ibrav = 0, nat = 9, ntyp = 4
/
ATOMIC_SPECIES
K 39.10 K.upf
Y 88.91 Y.upf
Pu 244.00 Pu.upf
O 16.00 O.upf
CELL_PARAMETERS angstrom
5.813 0.000 0.000
-2.907 5.034 0.000
0.000 0.000 4.875
ATOMIC_POSITIONS crystal
K 0.000 0.000 0.000
Y 0.333 0.667 0.500
Pu 0.667 0.333 0.000
O 0.413 0.033 0.764
O 0.413 0.379 0.236
O 0.621 0.033 0.236
O 0.621 0.587 0.764
O 0.967 0.379 0.764
O 0.967 0.587 0.236
```

=====

(6)
The following is a DFT calculation (GGA-PBE) of K2YPuO4 after structural relaxation. Values from VASP.

Computed properties:
- Total moment: 5.00 μB/cell
- ΔE_f (raw): -2547 meV/atom
- Symmetry: No. 10
- Total DFT energy (no corrections): -63.20 eV/cell

```
&SYSTEM
  ibrav = 0, nat = 8, ntyp = 4
/
ATOMIC_SPECIES
K 39.10 K.upf
Y 88.91 Y.upf
Pu 244.00 Pu.upf
O 16.00 O.upf
CELL_PARAMETERS angstrom
6.130 0.000 0.000
0.000 3.539 0.000
-2.045 0.000 6.265
ATOMIC_POSITIONS crystal
K 0.000 0.000 0.000
K 0.500 0.500 0.000
Y 0.000 0.500 0.500
Pu 0.500 0.000 0.500
O 0.224 0.000 0.687
O 0.268 0.500 0.314
O 0.732 0.500 0.686
O 0.776 0.000 0.313
```

=====

(7)
The following is a DFT calculation (GGA-PBE) of K3Y3PuO8 after structural relaxation. Values from VASP.

Computed properties:
- Total moment: 4.00 μB/cell
- ΔE_f (raw): -2800 meV/atom
- Symmetry: No. 166
- Total DFT energy (no corrections): -118.68 eV/cell

```
&SYSTEM
  ibrav = 0, nat = 15, ntyp = 4
/
ATOMIC_SPECIES
K 39.10 K.upf
Y 88.91 Y.upf
Pu 244.00 Pu.upf
O 16.00 O.upf
CELL_PARAMETERS angstrom
3.484 2.012 6.337
-3.484 2.012 6.337
0.000 -4.023 6.337
ATOMIC_POSITIONS crystal
K 0.000 0.500 0.500
K 0.500 0.000 0.500
K 0.500 0.500 0.000
Y 0.000 0.000 0.500
Y 0.000 0.500 0.000
Y 0.500 0.000 0.000
Pu 0.500 0.500 0.500
O 0.227 0.227 0.227
O 0.237 0.720 0.720
O 0.280 0.280 0.763
O 0.280 0.763 0.280
O 0.720 0.237 0.720
O 0.720 0.720 0.237
O 0.763 0.280 0.280
O 0.773 0.773 0.773
```

=====

(8)
The following is a DFT calculation (GGA-PBE) of K3Pu3ZnO8 after structural relaxation. Values from VASP.

Computed properties:
- Total moment: 13.00 μB/cell
- ΔE_f (raw): -2301 meV/atom
- Symmetry: No. 166
- Total DFT energy (no corrections): -121.74 eV/cell

```
&SYSTEM
  ibrav = 0, nat = 15, ntyp = 4
/
ATOMIC_SPECIES
K 39.10 K.upf
Pu 244.00 Pu.upf
Zn 65.41 Zn.upf
O 16.00 O.upf
CELL_PARAMETERS angstrom
3.442 1.987 6.283
-3.442 1.987 6.283
0.000 -3.974 6.283
ATOMIC_POSITIONS crystal
K 0.000 0.500 0.500
K 0.500 0.000 0.500
K 0.500 0.500 0.000
Pu 0.000 0.000 0.500
Pu 0.000 0.500 0.000
Pu 0.500 0.000 0.000
Zn 0.500 0.500 0.500
O 0.224 0.725 0.725
O 0.230 0.230 0.230
O 0.275 0.275 0.776
O 0.275 0.776 0.275
O 0.725 0.224 0.725
O 0.725 0.725 0.224
O 0.770 0.770 0.770
O 0.776 0.275 0.275
```

=====

(9)
The following is a DFT calculation (GGA-PBE) of K2PuZn2O6 after structural relaxation. Values from VASP.

Computed properties:
- Total moment: 2.00 μB/cell
- ΔE_f (raw): -1847 meV/atom
- Symmetry: No. 162
- Total DFT energy (no corrections): -69.14 eV/cell

```
&SYSTEM
  ibrav = 0, nat = 11, ntyp = 4
/
ATOMIC_SPECIES
K 39.10 K.upf
Pu 244.00 Pu.upf
Zn 65.41 Zn.upf
O 16.00 O.upf
CELL_PARAMETERS angstrom
5.486 0.000 0.000
-2.743 4.751 0.000
0.000 0.000 6.330
ATOMIC_POSITIONS crystal
K 0.333 0.667 0.000
K 0.667 0.333 0.000
Pu 0.000 0.000 0.500
Zn 0.333 0.667 0.500
Zn 0.667 0.333 0.500
O 0.000 0.324 0.678
O 0.000 0.676 0.322
O 0.324 0.000 0.678
O 0.324 0.324 0.322
O 0.676 0.000 0.322
O 0.676 0.676 0.678
```

=====

(10)
The following is a DFT calculation (GGA-PBE) of KPuZn2O6 after structural relaxation. Values from VASP.

Computed properties:
- Total moment: 2.00 μB/cell
- ΔE_f (raw): -1825 meV/atom
- Symmetry: No. 15
- Total DFT energy (no corrections): -131.96 eV/cell

```
&SYSTEM
  ibrav = 0, nat = 20, ntyp = 4
/
ATOMIC_SPECIES
K 39.10 K.upf
Pu 244.00 Pu.upf
Zn 65.41 Zn.upf
O 16.00 O.upf
CELL_PARAMETERS angstrom
5.189 -5.145 0.000
5.189 5.145 0.000
-1.788 0.000 6.299
ATOMIC_POSITIONS crystal
K 0.088 0.912 0.750
K 0.912 0.088 0.250
Pu 0.286 0.714 0.250
Pu 0.714 0.286 0.750
Zn 0.239 0.378 0.887
Zn 0.378 0.239 0.387
Zn 0.622 0.761 0.613
Zn 0.761 0.622 0.113
O 0.007 0.727 0.251
O 0.247 0.662 0.946
O 0.273 0.993 0.249
O 0.281 0.413 0.208
O 0.338 0.753 0.554
O 0.413 0.281 0.708
O 0.587 0.719 0.292
O 0.662 0.247 0.446
O 0.719 0.587 0.792
O 0.727 0.007 0.751
O 0.753 0.338 0.054
O 0.993 0.273 0.749
```

=====

(11)
The following is a DFT calculation (GGA-PBE) of K3PuZn2O6 after structural relaxation. Values from VASP.

Computed properties:
- Total moment: 3.00 μB/cell
- ΔE_f (raw): -1850 meV/atom
- Symmetry: No. 12
- Total DFT energy (no corrections): -72.12 eV/cell

```
&SYSTEM
  ibrav = 0, nat = 12, ntyp = 4
/
ATOMIC_SPECIES
K 39.10 K.upf
Pu 244.00 Pu.upf
Zn 65.41 Zn.upf
O 16.00 O.upf
CELL_PARAMETERS angstrom
2.758 -5.703 0.000
2.758 5.703 0.000
-1.281 0.000 6.075
ATOMIC_POSITIONS crystal
K 0.000 0.000 0.000
K 0.318 0.682 0.000
K 0.682 0.318 0.000
Pu 0.500 0.500 0.500
Zn 0.215 0.785 0.500
Zn 0.785 0.215 0.500
O 0.087 0.403 0.332
O 0.345 0.345 0.748
O 0.403 0.087 0.332
O 0.597 0.913 0.668
O 0.655 0.655 0.252
O 0.913 0.597 0.668
```

=====

(12)
The following is a DFT calculation (GGA-PBE) of K3Pu2ZnO9 after structural relaxation. Values from VASP.

Computed properties:
- Total moment: 3.00 μB/cell
- ΔE_f (raw): -2136 meV/atom
- Symmetry: No. 164
- Total DFT energy (no corrections): -109.89 eV/cell

```
&SYSTEM
  ibrav = 0, nat = 15, ntyp = 4
/
ATOMIC_SPECIES
K 39.10 K.upf
Pu 244.00 Pu.upf
Zn 65.41 Zn.upf
O 16.00 O.upf
CELL_PARAMETERS angstrom
5.903 0.000 0.000
-2.952 5.113 0.000
0.000 0.000 7.267
ATOMIC_POSITIONS crystal
K 0.000 0.000 0.000
K 0.333 0.667 0.657
K 0.667 0.333 0.343
Pu 0.333 0.667 0.174
Pu 0.667 0.333 0.826
Zn 0.000 0.000 0.500
O 0.000 0.500 0.000
O 0.172 0.344 0.327
O 0.172 0.828 0.327
O 0.344 0.172 0.673
O 0.500 0.000 0.000
O 0.500 0.500 0.000
O 0.656 0.828 0.327
O 0.828 0.172 0.673
O 0.828 0.656 0.673
```

=====

Which value of total moment does entry 1 give? 4.00 μB/cell

=====

total moment of number 1 (K2Y2PuO6)? 4.00 μB/cell

=====

Which formula does entry 4 have? KY2PuO6